No. 1
DFT (PBEsol) results for crystalline IrAuS2 at its relaxed geometry.

Lattice parameters (Å, degrees): 5.8211 5.8211 9.1040 90.00 90.00 90.00
Fractional coordinates of all 16 atoms:
Ir: 0.0000 0.0000 0.0000
Ir: 0.0000 0.5000 0.2500
Ir: 0.5000 0.0000 0.7500
Ir: 0.5000 0.5000 0.5000
Au: 0.0000 0.0000 0.5000
Au: 0.0000 0.5000 0.7500
Au: 0.5000 0.0000 0.2500
Au: 0.5000 0.5000 0.0000
S: 0.2188 0.7500 0.1250
S: 0.2500 0.2188 0.8750
S: 0.2500 0.2812 0.3750
S: 0.2812 0.7500 0.6250
S: 0.7188 0.2500 0.6250
S: 0.7500 0.7188 0.3750
S: 0.7500 0.7812 0.8750
S: 0.7812 0.2500 0.1250

Output
The calculation puts the uncorrected formation energy at 0.52 eV/f.u. As for the crystal system: tetragonal. For the spin magnetization, the calculation gives 0.0 μB per formula unit. The total energy is -5.500 eV/atom. The value obtained for the volume is 19.3 Å³ per atom.

=====

No. 2
DFT (PBEsol) results for crystalline SbIrAu2 at its relaxed geometry.

Lattice parameters (Å, degrees): 3.1582 3.1582 7.2013 90.00 90.00 90.00
Fractional coordinates of all 4 atoms:
Sb: 0.0000 0.0000 0.0000
Ir: 0.5000 0.5000 0.7843
Au: 0.0000 0.0000 0.5404
Au: 0.5000 0.5000 0.3055

Output
The calculation puts the uncorrected formation energy at 0.70 eV/f.u. As for the crystal system: tetragonal. For the spin magnetization, the calculation gives 0.0 μB per formula unit. The total energy is -5.382 eV/atom. The value obtained for the volume is 18.0 Å³ per atom.

=====

No. 3
DFT (PBEsol) results for crystalline SbIrAu2 at its relaxed geometry.

Lattice parameters (Å, degrees): 3.1230 3.1230 25.6319 90.00 90.00 120.00
Fractional coordinates of all 12 atoms:
Sb: 0.0000 0.0000 0.0000
Sb: 0.3333 0.6667 0.6667
Sb: 0.6667 0.3333 0.3333
Ir: 0.0000 0.0000 0.7426
Ir: 0.3333 0.6667 0.4093
Ir: 0.6667 0.3333 0.0760
Au: 0.0000 0.0000 0.2420
Au: 0.0000 0.0000 0.4919
Au: 0.3333 0.6667 0.1585
Au: 0.3333 0.6667 0.9086
Au: 0.6667 0.3333 0.5753
Au: 0.6667 0.3333 0.8252

Output
The calculation puts the uncorrected formation energy at 1.07 eV/f.u. As for the crystal system: trigonal. For the spin magnetization, the calculation gives 0.0 μB per formula unit. The total energy is -5.290 eV/atom. The value obtained for the volume is 18.0 Å³ per atom.

=====

No. 4
DFT (PBEsol) results for crystalline SbIrAu at its relaxed geometry.

Lattice parameters (Å, degrees): 3.9192 3.9192 4.4510 90.00 90.00 120.00
Fractional coordinates of all 3 atoms:
Sb: 0.0000 0.0000 0.0000
Ir: 0.6667 0.3333 0.2745
Au: 0.3333 0.6667 0.6077

Output
The calculation puts the uncorrected formation energy at 0.76 eV/f.u. As for the crystal system: trigonal. For the spin magnetization, the calculation gives 0.0 μB per formula unit. The total energy is -5.848 eV/atom. The value obtained for the volume is 19.7 Å³ per atom.

=====

No. 5
DFT (PBEsol) results for crystalline SbIrAu4 at its relaxed geometry.

Lattice parameters (Å, degrees): 5.3818 5.3818 5.3818 60.00 60.00 60.00
Fractional coordinates of all 6 atoms:
Sb: 0.0000 0.0000 0.0000
Ir: 0.7500 0.7500 0.7500
Au: 0.3753 0.3753 0.3753
Au: 0.3753 0.3753 0.8740
Au: 0.3753 0.8740 0.3753
Au: 0.8740 0.3753 0.3753

Output
The calculation puts the uncorrected formation energy at 2.99 eV/f.u. As for the crystal system: cubic. For the spin magnetization, the calculation gives 0.0 μB per formula unit. The total energy is -4.515 eV/atom. The value obtained for the volume is 18.4 Å³ per atom.

=====

No. 6
DFT (PBEsol) results for crystalline SbIrAu2 at its relaxed geometry.

Lattice parameters (Å, degrees): 3.8794 3.8794 9.2713 90.00 90.00 90.00
Fractional coordinates of all 8 atoms:
Sb: 0.0000 0.0000 0.0000
Sb: 0.5000 0.5000 0.5000
Ir: 0.0000 0.0000 0.5000
Ir: 0.5000 0.5000 0.0000
Au: 0.0000 0.5000 0.2500
Au: 0.0000 0.5000 0.7500
Au: 0.5000 0.0000 0.2500
Au: 0.5000 0.0000 0.7500

Output
The calculation puts the uncorrected formation energy at 0.84 eV/f.u. As for the crystal system: tetragonal. For the spin magnetization, the calculation gives 0.0 μB per formula unit. The total energy is -5.348 eV/atom. The value obtained for the volume is 17.4 Å³ per atom.

=====

No. 7
DFT (PBEsol) results for crystalline SbIrAu2 at its relaxed geometry.

Lattice parameters (Å, degrees): 2.9647 2.9647 8.2863 90.00 90.00 90.00
Fractional coordinates of all 4 atoms:
Sb: 0.0000 0.0000 0.0000
Ir: 0.0000 0.0000 0.5000
Au: 0.5000 0.5000 0.2791
Au: 0.5000 0.5000 0.7209

Output
The calculation puts the uncorrected formation energy at 1.68 eV/f.u. As for the crystal system: tetragonal. For the spin magnetization, the calculation gives 0.0 μB per formula unit. The total energy is -5.138 eV/atom. The value obtained for the volume is 18.2 Å³ per atom.

=====

No. 8
DFT (PBEsol) results for crystalline ScIrAu2 at its relaxed geometry.

Lattice parameters (Å, degrees): 3.9102 3.9102 8.5366 90.00 90.00 90.00
Fractional coordinates of all 8 atoms:
Sc: 0.0000 0.0000 0.0000
Sc: 0.5000 0.5000 0.5000
Ir: 0.0000 0.0000 0.5000
Ir: 0.5000 0.5000 0.0000
Au: 0.0000 0.5000 0.2500
Au: 0.0000 0.5000 0.7500
Au: 0.5000 0.0000 0.2500
Au: 0.5000 0.0000 0.7500

Output
As for the crystal system: tetragonal. For the spin magnetization, the calculation gives 0.0 μB per formula unit. The total energy is -6.597 eV/atom. The value obtained for the volume is 16.3 Å³ per atom. For the calculated formation energy, the calculation gives -0.528 eV/atom.

=====

No. 9
DFT (PBEsol) results for crystalline ScIrAu2 at its relaxed geometry.

Lattice parameters (Å, degrees): 3.4127 3.4127 5.7540 90.00 90.00 90.00
Fractional coordinates of all 4 atoms:
Sc: 0.0000 0.0000 0.0000
Ir: 0.5000 0.5000 0.7731
Au: 0.0000 0.0000 0.5145
Au: 0.5000 0.5000 0.2684

Output
As for the crystal system: tetragonal. For the spin magnetization, the calculation gives 0.0 μB per formula unit. The total energy is -6.518 eV/atom. The value obtained for the volume is 16.8 Å³ per atom. For the calculated formation energy, the calculation gives -0.449 eV/atom.

=====

No. 10
DFT (PBEsol) results for crystalline IrAu2Se at its relaxed geometry.

Lattice parameters (Å, degrees): 2.7690 4.2091 5.7317 90.00 90.00 90.00
Fractional coordinates of all 4 atoms:
Ir: 0.0000 0.0000 0.0000
Au: 0.5000 0.5000 0.2406
Au: 0.5000 0.5000 0.7594
Se: 0.0000 0.0000 0.5000

Output
The calculation puts the uncorrected formation energy at 2.11 eV/f.u. As for the crystal system: orthorhombic. For the spin magnetization, the calculation gives 0.0 μB per formula unit. The total energy is -4.852 eV/atom. The value obtained for the volume is 16.7 Å³ per atom.

=====

No. 11
DFT (PBEsol) results for crystalline IrAu2Se at its relaxed geometry.

Lattice parameters (Å, degrees): 5.3436 9.9867 3.0486 90.00 124.06 90.00
Fractional coordinates of all 8 atoms:
Ir: 0.0000 0.0000 0.0000
Ir: 0.5000 0.5000 0.0000
Au: 0.2500 0.2500 0.5000
Au: 0.2500 0.7500 0.5000
Au: 0.7500 0.2500 0.5000
Au: 0.7500 0.7500 0.5000
Se: 0.0000 0.5000 0.0000
Se: 0.5000 0.0000 0.0000

Output
The calculation puts the uncorrected formation energy at 1.75 eV/f.u. As for the crystal system: monoclinic. For the spin magnetization, the calculation gives 0.0 μB per formula unit. The total energy is -4.942 eV/atom. The value obtained for the volume is 16.8 Å³ per atom.

=====

No. 12
DFT (PBEsol) results for crystalline SiIrAu2 at its relaxed geometry.

Lattice parameters (Å, degrees): 2.9450 3.9893 5.3126 90.00 90.00 90.00
Fractional coordinates of all 4 atoms:
Si: 0.0000 0.0000 0.0000
Ir: 0.0000 0.0000 0.5000
Au: 0.5000 0.5000 0.2490
Au: 0.5000 0.5000 0.7510

Output
The calculation puts the uncorrected formation energy at 1.20 eV/f.u. As for the crystal system: orthorhombic. For the spin magnetization, the calculation gives 0.0 μB per formula unit. The total energy is -5.554 eV/atom. The value obtained for the volume is 15.6 Å³ per atom.

=====

No. 13
DFT (PBEsol) results for crystalline SiIrAu2 at its relaxed geometry.

Lattice parameters (Å, degrees): 2.8402 4.4636 4.8951 90.00 90.00 90.00
Fractional coordinates of all 4 atoms:
Si: 0.0000 0.0000 0.0000
Ir: 0.5000 0.5000 0.0000
Au: 0.0000 0.5000 0.5000
Au: 0.5000 0.0000 0.5000

Output
The calculation puts the uncorrected formation energy at 0.65 eV/f.u. As for the crystal system: orthorhombic. For the spin magnetization, the calculation gives 0.0 μB per formula unit. The total energy is -5.692 eV/atom. The value obtained for the volume is 15.5 Å³ per atom.

=====

No. 14
DFT (PBEsol) results for crystalline SrIr2Au at its relaxed geometry.

Lattice parameters (Å, degrees): 2.8939 2.8939 8.5626 90.00 90.00 90.00
Fractional coordinates of all 4 atoms:
Sr: 0.0000 0.0000 0.0000
Ir: 0.0000 0.0000 0.5247
Ir: 0.5000 0.5000 0.7164
Au: 0.5000 0.5000 0.2889

Output
The energy above the most stable polymorph in this dataset is 0 meV per atom. As for the crystal system: tetragonal. For the spin magnetization, the calculation gives 0.0 μB per formula unit. The total energy is -6.117 eV/atom. The value obtained for the volume is 17.9 Å³ per atom. For the calculated formation energy, the calculation gives 0.235 eV/atom.

=====

No. 15
DFT (PBEsol) results for crystalline SrIr2Au at its relaxed geometry.

Lattice parameters (Å, degrees): 2.9441 2.9441 8.3033 90.00 90.00 90.00
Fractional coordinates of all 4 atoms:
Sr: 0.0000 0.0000 0.0000
Ir: 0.5000 0.5000 0.2840
Ir: 0.5000 0.5000 0.7160
Au: 0.0000 0.0000 0.5000

Output
The energy above the most stable polymorph in this dataset is 278 meV per atom. As for the crystal system: tetragonal. For the spin magnetization, the calculation gives 0.0 μB per formula unit. The total energy is -5.839 eV/atom. The value obtained for the volume is 18.0 Å³ per atom. For the calculated formation energy, the calculation gives 0.513 eV/atom.